The following is a PBE calculation of a geometry-optimized ZnIn2Ge structure, from the Alexandria database.

```
ZnIn2Ge
1.0
0.0000 3.5622 3.5622
3.5622 0.0000 3.5622
3.5622 3.5622 0.0000
Ge Zn In
1 1 2
Direct
0.5000 0.5000 0.5000
0.0000 0.0000 0.0000
0.2500 0.2500 0.2500
0.7500 0.7500 0.7500
```

Summary:
- calculated formation energy (eV per atom) = 0.177
- VASP energy (eV/cell) = -10.7
- total magnetic moment (μB per atom) = 0.00
- polymorph energy (0 for the lowest one) (meV per atom) = 22.7

The following is a PBE calculation of a geometry-optimized ZnIn2Ge structure, from the Alexandria database.

```
ZnIn2Ge
1.0
3.6013 0.0000 0.0000
0.0000 3.6013 0.0000
0.0000 0.0000 6.9109
In Zn Ge
2 1 1
Direct
0.0000 0.0000 0.7541
0.0000 0.0000 0.2459
0.5000 0.5000 0.0000
0.5000 0.5000 0.5000
```

Summary:
- calculated formation energy (eV per atom) = 0.180
- VASP energy (eV/cell) = -10.6
- total magnetic moment (μB per atom) = 0.00
- polymorph energy (0 for the lowest one) (meV per atom) = 25.4

The following is a PBE calculation of a geometry-optimized Zn2InGe2 structure, from the Alexandria database.

```
Zn2InGe2
1.0
4.1302 0.0000 0.0000
0.0000 4.1302 0.0000
2.0651 2.0651 5.9176
Zn In Ge
2 1 2
Direct
0.6048 0.6048 0.7904
0.3952 0.3952 0.2096
0.0000 0.0000 0.0000
0.7500 0.2500 0.5000
0.2500 0.7500 0.5000
```

Summary:
- calculated formation energy (eV per atom) = 0.137
- VASP energy (eV/cell) = -13.8
- total magnetic moment (μB per atom) = 0.00
- polymorph energy (0 for the lowest one) (meV per atom) = 18.8

The following is a PBE calculation of a geometry-optimized Zn2InGe structure, from the Alexandria database.

```
Zn2InGe
1.0
4.1774 0.0000 0.0000
0.0000 4.2981 0.0000
0.0000 0.0000 4.2981
Zn In Ge
2 1 1
Direct
0.0000 0.5000 0.0000
0.0000 0.0000 0.5000
0.5000 0.5000 0.5000
0.5000 0.0000 0.0000
```

Summary:
- calculated formation energy (eV per atom) = 0.186
- VASP energy (eV/cell) = -9.2
- total magnetic moment (μB per atom) = 0.00
- polymorph energy (0 for the lowest one) (meV per atom) = 41.1

The following is a PBE calculation of a geometry-optimized Zn4InGe structure, from the Alexandria database.

```
Zn4InGe
1.0
-3.7669 0.6206 -3.7263
-2.2669 -4.2783 -2.2398
-5.0744 -1.2175 1.1081
Zn Ge In
4 1 1
Direct
0.6254 0.1239 0.6254
0.6254 0.6254 0.1239
0.1239 0.6254 0.6254
0.6254 0.6254 0.6254
0.0000 0.0000 0.0000
0.2500 0.2500 0.2500
```

Summary:
- calculated formation energy (eV per atom) = 0.131
- VASP energy (eV/cell) = -11.7
- total magnetic moment (μB per atom) = 0.00

The following is a PBE calculation of a geometry-optimized Zn2In2Ge structure, from the Alexandria database.

```
Zn2In2Ge
1.0
-5.4773 1.0460 -3.8782
-3.1346 -5.2138 3.0209
-1.7320 2.9140 3.2321
Zn In Ge
4 4 2
Direct
0.6332 0.1332 0.0000
0.1332 0.3668 0.0000
0.8668 0.6332 0.0000
0.3668 0.8668 0.0000
0.8239 0.3239 0.5000
0.6761 0.8239 0.5000
0.3239 0.1761 0.5000
0.1761 0.6761 0.5000
0.0000 0.0000 0.0000
0.5000 0.5000 0.0000
```

Summary:
- calculated formation energy (eV per atom) = 0.134
- VASP energy (eV/cell) = -23.9
- total magnetic moment (μB per atom) = 0.00
- polymorph energy (0 for the lowest one) (meV per atom) = 0.0

The following is a PBE calculation of a geometry-optimized ZnInGe3 structure, from the Alexandria database.

```
ZnInGe3
1.0
5.2689 0.0000 0.0000
0.0000 5.2689 0.0000
0.0000 0.0000 5.2689
Zn Ge In
1 3 1
Direct
0.5000 0.5000 0.5000
0.0000 0.5000 0.0000
0.0000 0.0000 0.5000
0.5000 0.0000 0.0000
0.0000 0.0000 0.0000
```

Summary:
- calculated formation energy (eV per atom) = 0.969
- VASP energy (eV/cell) = -13.0
- total magnetic moment (μB per atom) = 0.00
- polymorph energy (0 for the lowest one) (meV per atom) = 457.2

The following is a PBE calculation of a geometry-optimized Zn2InGe structure, from the Alexandria database.

```
Zn2InGe
1.0
-0.1512 -3.9488 -1.0699
3.4076 -1.9290 -1.1947
2.1502 -3.4944 4.7606
In Ge Zn
1 1 2
Direct
0.4963 0.4963 0.5112
0.6682 0.6682 0.9954
0.0666 0.0666 0.8001
0.2689 0.2689 0.1934
```

Summary:
- calculated formation energy (eV per atom) = 0.145
- VASP energy (eV/cell) = -9.3
- total magnetic moment (μB per atom) = 0.00
- polymorph energy (0 for the lowest one) (meV per atom) = 0.0

The following is a PBE calculation of a geometry-optimized Zn5In12Ge3 structure, from the Alexandria database.

```
Zn5In12Ge3
1.0
14.1972 0.0000 0.0000
-4.7324 13.3852 0.0000
-4.7324 -6.6926 11.5920
In Zn Ge
48 20 12
Direct
0.0959 0.9254 0.3703
0.9254 0.0959 0.8703
0.5746 0.6297 0.4041
0.8703 0.2744 0.4450
0.3703 0.9450 0.7744
0.2744 0.4041 0.8294
0.1297 0.7256 0.5550
0.7256 0.1297 0.0550
0.6706 0.2256 0.5959
0.3294 0.5550 0.4254
0.9450 0.3703 0.2744
0.0550 0.4254 0.8294
0.2256 0.6706 0.0959
0.4254 0.0550 0.3294
0.4450 0.7744 0.8703
0.5959 0.7256 0.6706
0.8294 0.9041 0.2744
0.0746 0.9041 0.1297
0.0550 0.6297 0.7256
0.7744 0.4450 0.3703
0.2744 0.8703 0.9450
0.4041 0.2744 0.3294
0.0959 0.1706 0.2256
0.1706 0.0746 0.9450
0.3703 0.4254 0.0959
0.2256 0.5550 0.6297
0.4450 0.6706 0.0746
0.7744 0.3294 0.9041
0.3294 0.7744 0.4041
0.0746 0.1706 0.4450
0.6297 0.5746 0.9041
0.1297 0.4041 0.0746
0.5550 0.3294 0.9254
0.9450 0.5746 0.1706
0.4041 0.1297 0.5746
0.4254 0.3703 0.5959
0.9041 0.0746 0.6297
0.9041 0.8294 0.7744
0.5959 0.8703 0.4254
0.1706 0.0959 0.7256
0.6297 0.0550 0.2256
0.9254 0.8294 0.5550
0.5550 0.2256 0.1297
0.8294 0.9254 0.0550
0.8703 0.5959 0.9254
0.7256 0.5959 0.1706
0.6706 0.4450 0.5746
0.5746 0.9450 0.6706
0.8750 0.2500 0.6250
0.0000 0.5000 0.0000
0.5000 0.0000 0.0000
0.1250 0.7500 0.3750
0.5000 0.0000 0.5000
0.5000 0.5000 0.0000
0.2500 0.8750 0.1250
0.1250 0.3750 0.2500
0.5000 0.5000 0.5000
0.0000 0.0000 0.0000
0.7500 0.1250 0.8750
0.6250 0.8750 0.2500
0.6250 0.7500 0.8750
0.8750 0.6250 0.7500
0.7500 0.6250 0.3750
0.3750 0.2500 0.1250
0.3750 0.1250 0.7500
0.0000 0.0000 0.5000
0.0000 0.5000 0.5000
0.2500 0.3750 0.6250
0.7500 0.3750 0.1250
0.8750 0.1250 0.2500
0.6250 0.3750 0.7500
0.2500 0.6250 0.8750
0.6250 0.2500 0.3750
0.3750 0.7500 0.6250
0.1250 0.2500 0.8750
0.8750 0.7500 0.1250
0.7500 0.8750 0.6250
0.3750 0.6250 0.2500
0.1250 0.8750 0.7500
0.2500 0.1250 0.3750
```

Summary:
- calculated formation energy (eV per atom) = 0.177
- VASP energy (eV/cell) = -198.2
- total magnetic moment (μB per atom) = 0.00

The following is a PBE calculation of a geometry-optimized Zr2InGe structure, from the Alexandria database.

```
Zr2InGe
1.0
7.6703 0.0000 0.0000
0.0000 7.6703 0.0000
3.8351 3.8351 3.0342
Ge In Zr
2 2 4
Direct
0.5000 0.5000 0.0000
0.2500 0.7500 0.5000
0.0000 0.0000 0.0000
0.7500 0.2500 0.5000
0.1438 0.6250 0.2500
0.6062 0.1250 0.2500
0.3750 0.3938 0.7500
0.8750 0.8562 0.7500
```

Summary:
- calculated formation energy (eV per atom) = -0.229
- VASP energy (eV/cell) = -50.7
- total magnetic moment (μB per atom) = 0.00

The following is a PBE calculation of a geometry-optimized Zr3InGe structure, from the Alexandria database.

```
Zr3InGe
1.0
5.0206 0.0000 0.0000
0.0000 5.0206 0.0000
0.0000 0.0000 5.0206
Ge Zr In
1 3 1
Direct
0.0000 0.0000 0.0000
0.0000 0.5000 0.0000
0.0000 0.0000 0.5000
0.5000 0.0000 0.0000
0.5000 0.5000 0.5000
```

Summary:
- calculated formation energy (eV per atom) = 0.036
- VASP energy (eV/cell) = -32.8
- total magnetic moment (μB per atom) = 0.00
- polymorph energy (0 for the lowest one) (meV per atom) = 179.4

The following is a PBE calculation of a geometry-optimized Zr2In2Ge structure, from the Alexandria database.

```
Zr2In2Ge
1.0
7.1042 0.0000 0.0000
0.0000 7.1042 0.0000
0.0000 0.0000 4.6152
Zr Ge In
4 2 4
Direct
0.6595 0.1595 0.0000
0.8405 0.6595 0.0000
0.3405 0.8405 0.0000
0.1595 0.3405 0.0000
0.5000 0.5000 0.0000
0.0000 0.0000 0.0000
0.3495 0.1505 0.5000
0.1505 0.6505 0.5000
0.6505 0.8495 0.5000
0.8495 0.3495 0.5000
```

Summary:
- calculated formation energy (eV per atom) = -0.327
- VASP energy (eV/cell) = -57.7
- total magnetic moment (μB per atom) = 0.00
- polymorph energy (0 for the lowest one) (meV per atom) = 0.0

The following is a PBE calculation of a geometry-optimized Zr2In2Ge structure, from the Alexandria database.

```
Zr2In2Ge
1.0
-1.1501 6.3433 -3.4478
-6.7052 -2.2329 -1.8714
-1.5509 1.6616 3.5744
Ge Zr In
2 4 4
Direct
0.5000 0.5000 0.0000
0.0000 0.0000 0.0000
0.3292 0.1708 0.5000
0.8292 0.3292 0.5000
0.1708 0.6708 0.5000
0.6708 0.8292 0.5000
0.1351 0.3649 0.0000
0.8649 0.6351 0.0000
0.6351 0.1351 0.0000
0.3649 0.8649 0.0000
```

Summary:
- calculated formation energy (eV per atom) = -0.009
- VASP energy (eV/cell) = -54.5
- total magnetic moment (μB per atom) = 0.00
- polymorph energy (0 for the lowest one) (meV per atom) = 318.1

The following is a PBE calculation of a geometry-optimized ZrInGe structure, from the Alexandria database.

```
ZrInGe
1.0
3.0145 -0.6333 -0.0386
0.9392 2.9338 -0.0429
0.2160 0.1409 13.9218
Zr In Ge
2 2 2
Direct
0.5237 0.8259 0.4894
0.5225 0.8252 0.9439
0.0218 0.3249 0.1129
0.0249 0.3269 0.3204
0.0220 0.3246 0.8058
0.0228 0.3249 0.6275
```

Summary:
- calculated formation energy (eV per atom) = -0.255
- VASP energy (eV/cell) = -33.3
- total magnetic moment (μB per atom) = 0.00

The following is a PBE calculation of a geometry-optimized ZrInGe2 structure, from the Alexandria database.

```
ZrInGe2
1.0
7.6113 0.0000 0.0000
0.0000 7.6113 0.0000
3.8056 3.8056 2.9993
Ge Zr In
4 2 2
Direct
0.6263 0.1250 0.2500
0.1237 0.6250 0.2500
0.3750 0.3737 0.7500
0.8750 0.8763 0.7500
0.5000 0.5000 0.0000
0.2500 0.7500 0.5000
0.7500 0.2500 0.5000
0.0000 0.0000 0.0000
```

Summary:
- calculated formation energy (eV per atom) = 0.058
- VASP energy (eV/cell) = -40.6
- total magnetic moment (μB per atom) = 0.00

The following is a PBE calculation of a geometry-optimized Zr2InGe structure, from the Alexandria database.

```
Zr2InGe
1.0
-1.2225 0.1977 -2.9609
-3.0384 -0.8794 -0.5437
-4.3463 8.7643 0.6402
Ge In Zr
1 1 2
Direct
0.0000 0.0000 0.0000
0.5000 0.5000 0.5000
0.7452 0.7452 0.7643
0.2548 0.2548 0.2357
```

Summary:
- calculated formation energy (eV per atom) = -0.263
- VASP energy (eV/cell) = -25.5
- total magnetic moment (μB per atom) = 0.00

The following is a PBE calculation of a geometry-optimized Zr3InGe structure, from the Alexandria database.

```
Zr3InGe
1.0
-3.0820 -1.2524 -1.6031
-1.9696 -4.0182 6.9258
-4.4758 5.2813 4.4787
Zr In Ge
6 2 2
Direct
0.8632 0.6223 0.0542
0.8633 0.3861 0.8183
0.8633 0.0018 0.6747
0.8632 0.7665 0.4382
0.3633 0.9995 0.0519
0.3633 0.3891 0.4414
0.8631 0.1943 0.2466
0.3631 0.6939 0.7462
0.3632 0.6941 0.2464
0.3633 0.1939 0.7465
```

Summary:
- calculated formation energy (eV per atom) = -0.144
- VASP energy (eV/cell) = -67.4
- total magnetic moment (μB per atom) = 0.00
- polymorph energy (0 for the lowest one) (meV per atom) = 0.0

The following is a PBE calculation of a geometry-optimized Ge4Ir3 structure, from the Alexandria database.

```
Ge4Ir3
1.0
-3.7534 -3.3102 5.4034
-6.4772 -3.1947 -1.4426
-0.5864 -7.3407 0.1095
Ge Ir
8 6
Direct
0.2589 0.2589 0.7232
0.2589 0.2589 0.2589
0.2589 0.7232 0.2589
0.7411 0.7411 0.7411
0.7411 0.7411 0.2768
0.7232 0.2589 0.2589
0.7411 0.2768 0.7411
0.2768 0.7411 0.7411
0.0000 0.5000 0.5000
0.5000 0.5000 0.5000
0.8751 0.8751 0.8751
0.5000 0.5000 0.0000
0.1249 0.1249 0.1249
0.5000 0.0000 0.5000
```

Summary:
- calculated formation energy (eV per atom) = 0.094
- VASP energy (eV/cell) = -88.8
- total magnetic moment (μB per atom) = 0.00
- polymorph energy (0 for the lowest one) (meV per atom) = 376.6

The following is a PBE calculation of a geometry-optimized Ge5Ir4 structure, from the Alexandria database.

```
Ge5Ir4
1.0
5.6907 0.0000 0.0000
0.0000 5.6907 0.0000
0.0000 0.0000 18.5469
Ge Ir
20 16
Direct
0.6581 0.1966 0.5553
0.1452 0.2257 0.6451
0.8548 0.2257 0.1451
0.3419 0.8034 0.5553
0.6778 0.3222 0.7500
0.8548 0.7743 0.6451
0.1966 0.6581 0.9447
0.2257 0.8548 0.3549
0.2257 0.1452 0.8549
0.3222 0.3222 0.2500
0.7743 0.8548 0.8549
0.1452 0.7743 0.1451
0.1966 0.3419 0.4447
0.3222 0.6778 0.7500
0.8034 0.6581 0.4447
0.7743 0.1452 0.3549
0.8034 0.3419 0.9447
0.6778 0.6778 0.2500
0.3419 0.1966 0.0553
0.6581 0.8034 0.0553
0.0000 0.0000 0.2500
0.0000 0.0000 0.0000
0.0000 0.5000 0.0558
0.0000 0.5000 0.3232
0.5000 0.5000 0.1358
0.5000 0.5000 0.6358
0.5000 0.0000 0.9442
0.5000 0.0000 0.1768
0.5000 0.0000 0.6768
0.5000 0.5000 0.3642
0.0000 0.5000 0.5558
0.5000 0.0000 0.4442
0.5000 0.5000 0.8642
0.0000 0.0000 0.5000
0.0000 0.0000 0.7500
0.0000 0.5000 0.8232
```

Summary:
- calculated formation energy (eV per atom) = -0.342
- VASP energy (eV/cell) = -246.4
- total magnetic moment (μB per atom) = 0.00

The following is a PBE calculation of a geometry-optimized Ge4Ir3 structure, from the Alexandria database.

```
Ge4Ir3
1.0
3.5625 0.0000 -0.8896
-0.6410 5.5508 -2.5671
-0.1768 -0.8772 6.8698
Ir Ge
3 4
Direct
0.2538 0.2029 0.5075
0.0000 0.0000 0.0000
0.7462 0.7971 0.4925
0.8428 0.5240 0.6855
0.4031 0.0966 0.8061
0.1572 0.4760 0.3145
0.5969 0.9034 0.1939
```

Summary:
- calculated formation energy (eV per atom) = -0.283
- VASP energy (eV/cell) = -47.0
- total magnetic moment (μB per atom) = 0.00
- polymorph energy (0 for the lowest one) (meV per atom) = 0.0

The following is a PBE calculation of a geometry-optimized Ge3Ir structure, from the Alexandria database.

```
Ge3Ir
1.0
2.9335 0.0000 0.0000
0.0000 4.8309 0.0016
0.0000 -0.0149 10.5756
Ge Ir
6 2
Direct
0.0003 0.9999 0.1999
0.9997 0.4999 0.6999
0.5010 0.5000 0.0000
0.0003 0.0001 0.8001
0.4990 0.0000 0.5000
0.9997 0.5001 0.3001
0.5004 0.0000 0.0000
0.4996 0.5000 0.5000
```

Summary:
- calculated formation energy (eV per atom) = -0.002
- VASP energy (eV/cell) = -45.4
- total magnetic moment (μB per atom) = 0.00